# RbS2I

An optimized crystal structure of RbS2I (GGA-PBE, the Alexandria database).

Uncorrected formation energy = -0.52 eV per atom
Relative energy among the computed polymorphs = 0.0 meV/atom
Crystal system = monoclinic
Energy = -0.118 Ha/atom

a b c (Å): 4.7101 5.5773 11.7748
angles (deg): 90.00 90.04 90.00
Atoms (fractional coordinates):
Rb 0.7487 0.7500 0.1699
Rb 0.2513 0.2500 0.8301
S 0.7498 0.4227 0.5687
S 0.2502 0.5773 0.4313
S 0.7498 0.0773 0.5687
S 0.2502 0.9227 0.4313
I 0.2486 0.2500 0.1484
I 0.7514 0.7500 0.8516